Density functional theory data (PBE with a Hubbard U) for a relaxed structure of Li2V2OF6.

Results
- ΔE to the lowest computed polymorph: 32 meV per atom
- Calculated density: 2.68 Mg/m³
- Total magnetic moment: 8.000 μB/cell

Structure (CIF):
```
data_Li2V2OF6
_symmetry_space_group_name_H-M 'P -1'
_symmetry_Int_Tables_number 2
_cell_length_a 5.511
_cell_length_b 7.076
_cell_length_c 8.804
_cell_angle_alpha 104.64
_cell_angle_beta 104.16
_cell_angle_gamma 104.01
loop_
_symmetry_equiv_pos_as_xyz
'x,y,z'
'-x,-y,-z'
loop_
_atom_site_label
_atom_site_type_symbol
_atom_site_fract_x
_atom_site_fract_y
_atom_site_fract_z
Li1 Li 0.056 0.247 0.389
Li2 Li 0.442 0.045 0.256
V1 V 0.059 0.710 0.309
V2 V 0.467 0.494 0.180
O1 O 0.238 0.375 0.627
F1 F 0.100 0.989 0.300
F2 F 0.158 0.444 0.278
F3 F 0.237 0.427 0.930
F4 F 0.267 0.818 0.552
F5 F 0.368 0.754 0.206
F6 F 0.453 0.213 0.127
```